First-principles (PBE) data for an optimized crystal structure of Sr2ErUO6, as listed in Alexandria.

Properties
Mass density = 7252 kg/m³
Crystal system = monoclinic
Space-group type = P2_1/c
Magnetization = 1.0 μB per formula unit
Polymorph energy (0 for the lowest one) = 0 meV per atom
E_form (uncorrected) = -3.30 eV per atom

```
20
Lattice="5.9715 0.0000 0.0000 0.0000 6.0956 0.0000 -5.9693 0.0000 8.5119" Properties=species:S:1:pos:R:3 pbc="T T T"
Sr -0.0634 0.2577 2.1226
Sr -3.0481 2.7901 6.3786
Sr 3.0503 3.3055 2.1333
Sr 0.0656 5.8379 6.3893
Er -2.9847 0.0000 4.2559
Er 0.0000 3.0478 0.0000
U 2.9858 0.0000 0.0000
U 0.0011 3.0478 4.2559
O -4.7151 1.2193 8.0924
O -1.7305 1.8285 3.8365
O -4.1734 4.3343 8.0592
O -1.1887 4.8091 3.8033
O -2.4098 0.2150 6.4304
O 0.5749 2.8328 2.1745
O -0.5727 3.2628 6.3374
O 2.4120 5.8806 2.0815
O 1.1909 1.2865 4.7086
O 4.1756 1.7613 0.4527
O 1.7327 4.2672 4.6754
O 4.7173 4.8763 0.4195
```

=====

First-principles (PBE) data for an optimized crystal structure of YZr4Hg, as listed in Alexandria.

Properties
Mass density = 7389 kg/m³
Crystal system = cubic
Energy relative to the elements = 191 meV per atom
Space-group type = F-43m
Magnetization = 0.0 μB per formula unit

```
6
Lattice="0.0000 4.1895 4.1895 4.1895 0.0000 4.1895 4.1895 4.1895 0.0000" Properties=species:S:1:pos:R:3 pbc="T T T"
Y 0.0000 0.0000 0.0000
Zr 5.2556 3.1235 3.1235
Zr 3.1235 5.2556 3.1235
Zr 3.1235 3.1235 5.2556
Zr 5.2556 5.2556 5.2556
Hg 2.0948 2.0948 2.0948
```

=====

First-principles (PBE) data for an optimized crystal structure of GdTmAl2, as listed in Alexandria.

Properties
Mass density = 6813 kg/m³
Crystal system = tetragonal
Energy relative to the elements = -397 meV per atom
Space-group type = P4/mmm
Magnetization = 7.1 μB per formula unit
Polymorph energy (0 for the lowest one) = 0 meV per atom

```
4
Lattice="3.5814 0.0000 0.0000 0.0000 3.5814 0.0000 0.0000 0.0000 7.2238" Properties=species:S:1:pos:R:3 pbc="T T T"
Gd 0.0000 0.0000 0.0000
Tm 0.0000 0.0000 3.6119
Al 1.7907 1.7907 1.8801
Al 1.7907 1.7907 5.3437
```

=====

First-principles (PBE) data for an optimized crystal structure of Ti7Ga5Sb, as listed in Alexandria.

Properties
Mass density = 5987 kg/m³
Crystal system = orthorhombic
Space-group type = Imm2
Magnetization = 0.9 μB per formula unit
E_form (uncorrected) = -0.27 eV per atom

```
13
Lattice="-2.5955 4.5683 4.7103 2.5955 -4.5683 4.7103 2.5955 4.5683 -4.7103" Properties=species:S:1:pos:R:3 pbc="T T T"
Ti 0.0000 0.0000 0.0000
Ti 0.0000 0.0000 2.4461
Ti 2.5955 1.4037 1.1283
Ti 0.0000 2.9855 1.1197
Ti 0.0000 6.1510 1.1197
Ti 0.0000 4.5683 3.3544
Ti 0.0000 3.1646 5.8387
Ga 1.3104 2.2872 -1.1920
Ga 3.8806 2.2872 -1.1920
Ga 2.5955 0.0000 3.5372
Ga -1.2851 2.2810 3.5183
Ga 1.2851 2.2810 3.5183
Sb 0.0000 0.0000 6.3752
```

=====

First-principles (PBE) data for an optimized crystal structure of Pm5PrGa2, as listed in Alexandria.

Properties
Mass density = 6883 kg/m³
Crystal system = orthorhombic
Energy relative to the elements = -174 meV per atom
Space-group type = Immm
Magnetization = 0.0 μB per formula unit

```
8
Lattice="-2.1913 4.9213 5.6226 2.1913 -4.9213 5.6226 2.1913 4.9213 -5.6226" Properties=species:S:1:pos:R:3 pbc="T T T"
Pm 0.0000 0.0000 0.0000
Pm 2.1913 1.9775 -1.6961
Pm 2.1913 1.9775 1.6961
Pm 0.0000 2.9438 3.9265
Pm 0.0000 2.9438 7.3186
Pr 0.0000 4.9213 0.0000
Ga 0.0000 0.0000 3.1575
Ga 0.0000 0.0000 8.0877
```

=====

First-principles (PBE) data for an optimized crystal structure of LaGdScSn, as listed in Alexandria.

Properties
Mass density = 6649 kg/m³
Crystal system = cubic
Energy relative to the elements = -272 meV per atom
Space-group type = F-43m
Magnetization = 8.1 μB per formula unit

```
4
Lattice="0.0000 3.8580 3.8580 3.8580 0.0000 3.8580 3.8580 3.8580 0.0000" Properties=species:S:1:pos:R:3 pbc="T T T"
La 0.0000 0.0000 0.0000
Gd 3.8580 3.8580 3.8580
Sc 1.9290 1.9290 1.9290
Sn 5.7870 5.7870 5.7870
```